1.
First-principles (GGA-PBE) data for Pa2Pd7Pt3 after structural relaxation, as listed in the Alexandria database.

space group = P2/m, No. 10
N(E_F) = 0.514 states/eV/atom
V = 221 Å³ per cell
formation enthalpy at 0 K = -376 meV/atom
crystal system = monoclinic
total magnetic moment = 0.000 μB per cell
calculated total energy = -6.50 eV/atom

Structure (CIF):
```
data_Pa2Pd7Pt3
_chemical_formula_sum 'Pa2 Pd7 Pt3'
_space_group_name_H-M_alt 'P 1'
_space_group_IT_number 1
_cell_length_a 3.9132
_cell_length_b 3.6999
_cell_length_c 15.3938
_cell_angle_alpha 90.00
_cell_angle_beta 97.33
_cell_angle_gamma 90.00
loop_
_space_group_symop_operation_xyz
'x,y,z'
loop_
_atom_site_label
_atom_site_type_symbol
_atom_site_fract_x
_atom_site_fract_y
_atom_site_fract_z
Pa1 Pa 0.1354 0.0000 0.2781
Pa2 Pa 0.8646 0.0000 0.7219
Pd1 Pd 0.0706 0.5000 0.1399
Pd2 Pd 0.2219 0.0000 0.4438
Pd3 Pd 0.4287 0.0000 0.8582
Pd4 Pd 0.5000 0.5000 0.0000
Pd5 Pd 0.5713 0.0000 0.1418
Pd6 Pd 0.7781 0.0000 0.5562
Pd7 Pd 0.9294 0.5000 0.8601
Pt1 Pt 0.0000 0.0000 0.0000
Pt2 Pt 0.3187 0.5000 0.6346
Pt3 Pt 0.6813 0.5000 0.3654
```


2.
First-principles (GGA-PBE) data for Sc2TlVCr after structural relaxation, as listed in the Alexandria database.

space group = P4/mmm, No. 123
N(E_F) = 2.094 states/eV/atom
V = 109 Å³ per cell
formation enthalpy at 0 K = 989 meV/atom
crystal system = tetragonal
total magnetic moment = 0.001 μB per cell
calculated total energy = -5.77 eV/atom

Structure (CIF):
```
data_Sc2TlVCr
_chemical_formula_sum 'Sc2 Tl1 V1 Cr1'
_space_group_name_H-M_alt 'P 1'
_space_group_IT_number 1
_cell_length_a 4.5978
_cell_length_b 4.5978
_cell_length_c 5.1343
_cell_angle_alpha 90.00
_cell_angle_beta 90.00
_cell_angle_gamma 90.00
loop_
_space_group_symop_operation_xyz
'x,y,z'
loop_
_atom_site_label
_atom_site_type_symbol
_atom_site_fract_x
_atom_site_fract_y
_atom_site_fract_z
Sc1 Sc 0.0000 0.5000 0.0000
Sc2 Sc 0.5000 0.0000 0.0000
Tl1 Tl 0.0000 0.0000 0.5000
V1 V 0.5000 0.5000 0.5000
Cr1 Cr 0.0000 0.0000 0.0000
```


3.
First-principles (GGA-PBE) data for DyGeS3 after structural relaxation, as listed in the Alexandria database.

formation energy without anion corrections = -5.560 eV per formula unit
space group = P2_1/c, No. 14
N(E_F) = 0.000 states/eV/atom
V = 452 Å³ per cell
E above lowest polymorph = 0.0 meV per atom
crystal system = monoclinic
total magnetic moment = 0.000 μB per cell
calculated total energy = -5.43 eV/atom

Structure (CIF):
```
data_DyGeS3
_chemical_formula_sum 'Dy4 Ge4 S12'
_space_group_name_H-M_alt 'P 1'
_space_group_IT_number 1
_cell_length_a 6.5685
_cell_length_b 7.1132
_cell_length_c 11.4859
_cell_angle_alpha 90.00
_cell_angle_beta 122.67
_cell_angle_gamma 90.00
loop_
_space_group_symop_operation_xyz
'x,y,z'
loop_
_atom_site_label
_atom_site_type_symbol
_atom_site_fract_x
_atom_site_fract_y
_atom_site_fract_z
Dy1 Dy 0.2002 0.1232 0.2553
Dy2 Dy 0.2002 0.3768 0.7553
Dy3 Dy 0.7998 0.6232 0.2447
Dy4 Dy 0.7998 0.8768 0.7447
Ge1 Ge 0.1525 0.6107 0.0681
Ge2 Ge 0.1525 0.8893 0.5681
Ge3 Ge 0.8475 0.1107 0.4319
Ge4 Ge 0.8475 0.3893 0.9319
S1 S 0.0772 0.1670 0.9189
S2 S 0.0772 0.3330 0.4189
S3 S 0.2730 0.6978 0.9282
S4 S 0.2730 0.8022 0.4282
S5 S 0.4294 0.0310 0.7629
S6 S 0.4294 0.4690 0.2629
S7 S 0.5706 0.5310 0.7371
S8 S 0.5706 0.9690 0.2371
S9 S 0.7270 0.1978 0.5718
S10 S 0.7270 0.3022 0.0718
S11 S 0.9228 0.6670 0.5811
S12 S 0.9228 0.8330 0.0811
```


4.
First-principles (GGA-PBE) data for Tb2TmBi after structural relaxation, as listed in the Alexandria database.

space group = P4/mmm, No. 123
N(E_F) = 0.915 states/eV/atom
V = 119 Å³ per cell
E above lowest polymorph = 15.2 meV per atom
formation enthalpy at 0 K = -367 meV/atom
crystal system = tetragonal
total magnetic moment = 0.000 μB per cell
calculated total energy = -4.77 eV/atom

Structure (CIF):
```
data_Tb2TmBi
_chemical_formula_sum 'Tb2 Tm1 Bi1'
_space_group_name_H-M_alt 'P 1'
_space_group_IT_number 1
_cell_length_a 4.2060
_cell_length_b 4.2060
_cell_length_c 6.7332
_cell_angle_alpha 90.00
_cell_angle_beta 90.00
_cell_angle_gamma 90.00
loop_
_space_group_symop_operation_xyz
'x,y,z'
loop_
_atom_site_label
_atom_site_type_symbol
_atom_site_fract_x
_atom_site_fract_y
_atom_site_fract_z
Tb1 Tb 0.0000 0.0000 0.2414
Tb2 Tb 0.0000 0.0000 0.7586
Tm1 Tm 0.5000 0.5000 0.5000
Bi1 Bi 0.5000 0.5000 0.0000
```


5.
First-principles (GGA-PBE) data for Sr2AgSe after structural relaxation, as listed in the Alexandria database.

formation energy without anion corrections = -3.999 eV per formula unit
space group = P2/m, No. 10
N(E_F) = 0.672 states/eV/atom
V = 133 Å³ per cell
crystal system = monoclinic
total magnetic moment = 0.002 μB per cell
calculated total energy = -3.42 eV/atom

Structure (CIF):
```
data_Sr2AgSe
_chemical_formula_sum 'Sr2 Ag1 Se1'
_space_group_name_H-M_alt 'P 1'
_space_group_IT_number 1
_cell_length_a 4.5336
_cell_length_b 4.5878
_cell_length_c 6.3920
_cell_angle_alpha 90.00
_cell_angle_beta 90.13
_cell_angle_gamma 90.00
loop_
_space_group_symop_operation_xyz
'x,y,z'
loop_
_atom_site_label
_atom_site_type_symbol
_atom_site_fract_x
_atom_site_fract_y
_atom_site_fract_z
Sr1 Sr 0.0000 0.0000 0.0000
Sr2 Sr 0.5000 0.5000 0.5000
Ag1 Ag 0.0000 0.0000 0.5000
Se1 Se 0.5000 0.5000 0.0000
```


6.
First-principles (GGA-PBE) data for TaIrBr after structural relaxation, as listed in the Alexandria database.

formation energy without anion corrections = 2.009 eV per formula unit
space group = F-43m, No. 216
N(E_F) = 0.690 states/eV/atom
V = 62 Å³ per cell
E above lowest polymorph = 656.6 meV per atom
crystal system = cubic
total magnetic moment = 0.000 μB per cell
calculated total energy = -6.79 eV/atom

Structure (CIF):
```
data_TaIrBr
_chemical_formula_sum 'Ta1 Ir1 Br1'
_space_group_name_H-M_alt 'P 1'
_space_group_IT_number 1
_cell_length_a 4.4527
_cell_length_b 4.4527
_cell_length_c 4.4527
_cell_angle_alpha 60.00
_cell_angle_beta 60.00
_cell_angle_gamma 60.00
loop_
_space_group_symop_operation_xyz
'x,y,z'
loop_
_atom_site_label
_atom_site_type_symbol
_atom_site_fract_x
_atom_site_fract_y
_atom_site_fract_z
Ta1 Ta 0.0000 0.0000 0.0000
Ir1 Ir 0.2500 0.2500 0.2500
Br1 Br 0.5000 0.5000 0.5000
```


7.
First-principles (GGA-PBE) data for Li3NiP after structural relaxation, as listed in the Alexandria database.

space group = Pm-3m, No. 221
N(E_F) = 0.726 states/eV/atom
V = 82 Å³ per cell
E above lowest polymorph = 205.3 meV per atom
formation enthalpy at 0 K = 427 meV/atom
crystal system = cubic
total magnetic moment = 0.854 μB per cell
calculated total energy = -2.96 eV/atom

Structure (CIF):
```
data_Li3NiP
_chemical_formula_sum 'Li3 Ni1 P1'
_space_group_name_H-M_alt 'P 1'
_space_group_IT_number 1
_cell_length_a 4.3450
_cell_length_b 4.3450
_cell_length_c 4.3450
_cell_angle_alpha 90.00
_cell_angle_beta 90.00
_cell_angle_gamma 90.00
loop_
_space_group_symop_operation_xyz
'x,y,z'
loop_
_atom_site_label
_atom_site_type_symbol
_atom_site_fract_x
_atom_site_fract_y
_atom_site_fract_z
Li1 Li 0.0000 0.0000 0.5000
Li2 Li 0.0000 0.5000 0.0000
Li3 Li 0.5000 0.0000 0.0000
Ni1 Ni 0.0000 0.0000 0.0000
P1 P 0.5000 0.5000 0.5000
```


8.
First-principles (GGA-PBE) data for LiOs2Cl after structural relaxation, as listed in the Alexandria database.

formation energy without anion corrections = 1.159 eV per formula unit
space group = Cm, No. 8
N(E_F) = 0.974 states/eV/atom
V = 75 Å³ per cell
E above lowest polymorph = 167.0 meV per atom
crystal system = monoclinic
total magnetic moment = 0.000 μB per cell
calculated total energy = -6.27 eV/atom

Structure (CIF):
```
data_LiOs2Cl
_chemical_formula_sum 'Li1 Os2 Cl1'
_space_group_name_H-M_alt 'P 1'
_space_group_IT_number 1
_cell_length_a 3.9749
_cell_length_b 3.9749
_cell_length_c 7.6954
_cell_angle_alpha 111.09
_cell_angle_beta 111.09
_cell_angle_gamma 41.95
loop_
_space_group_symop_operation_xyz
'x,y,z'
loop_
_atom_site_label
_atom_site_type_symbol
_atom_site_fract_x
_atom_site_fract_y
_atom_site_fract_z
Li1 Li 0.0000 0.0000 0.0000
Os1 Os 0.2610 0.2610 0.6601
Os2 Os 0.4646 0.4646 0.4988
Cl1 Cl 0.7744 0.7744 0.1591
```


9.
First-principles (GGA-PBE) data for ScIrSe2 after structural relaxation, as listed in the Alexandria database.

formation energy without anion corrections = -1.675 eV per formula unit
space group = Fmmm, No. 69
N(E_F) = 0.477 states/eV/atom
V = 78 Å³ per cell
E above lowest polymorph = 477.0 meV per atom
crystal system = orthorhombic
total magnetic moment = 0.000 μB per cell
calculated total energy = -5.96 eV/atom

Structure (CIF):
```
data_ScIrSe2
_chemical_formula_sum 'Sc1 Ir1 Se2'
_space_group_name_H-M_alt 'P 1'
_space_group_IT_number 1
_cell_length_a 5.3347
_cell_length_b 4.9699
_cell_length_c 4.4042
_cell_angle_alpha 69.07
_cell_angle_beta 60.48
_cell_angle_gamma 50.45
loop_
_space_group_symop_operation_xyz
'x,y,z'
loop_
_atom_site_label
_atom_site_type_symbol
_atom_site_fract_x
_atom_site_fract_y
_atom_site_fract_z
Sc1 Sc 0.0000 0.0000 0.0000
Ir1 Ir 0.5000 0.5000 0.5000
Se1 Se 0.0000 0.5000 0.5000
Se2 Se 0.5000 0.0000 0.0000
```


10.
First-principles (GGA-PBE) data for TbPm2Sm6Mg after structural relaxation, as listed in the Alexandria database.

space group = C2/c, No. 15
N(E_F) = 1.238 states/eV/atom
V = 660 Å³ per cell
formation enthalpy at 0 K = 113 meV/atom
crystal system = monoclinic
total magnetic moment = 0.000 μB per cell
calculated total energy = -4.29 eV/atom

Structure (CIF):
```
data_TbPm2Sm6Mg
_chemical_formula_sum 'Tb2 Pm4 Sm12 Mg2'
_space_group_name_H-M_alt 'P 1'
_space_group_IT_number 1
_cell_length_a 8.8516
_cell_length_b 8.8516
_cell_length_c 9.5319
_cell_angle_alpha 93.63
_cell_angle_beta 93.63
_cell_angle_gamma 117.04
loop_
_space_group_symop_operation_xyz
'x,y,z'
loop_
_atom_site_label
_atom_site_type_symbol
_atom_site_fract_x
_atom_site_fract_y
_atom_site_fract_z
Tb1 Tb 0.0199 0.9801 0.7500
Tb2 Tb 0.9801 0.0199 0.2500
Pm1 Pm 0.2059 0.3069 0.5482
Pm2 Pm 0.3069 0.2059 0.0482
Pm3 Pm 0.6931 0.7941 0.9518
Pm4 Pm 0.7941 0.6931 0.4518
Sm1 Sm 0.0033 0.5698 0.6950
Sm2 Sm 0.1282 0.7632 0.0523
Sm3 Sm 0.2368 0.8718 0.4477
Sm4 Sm 0.2902 0.5022 0.8878
Sm5 Sm 0.4302 0.9967 0.8050
Sm6 Sm 0.4978 0.7098 0.6122
Sm7 Sm 0.5022 0.2902 0.3878
Sm8 Sm 0.5698 0.0033 0.1950
Sm9 Sm 0.7098 0.4978 0.1122
Sm10 Sm 0.7632 0.1282 0.5523
Sm11 Sm 0.8718 0.2368 0.9477
Sm12 Sm 0.9967 0.4302 0.3050
Mg1 Mg 0.4104 0.5896 0.2500
Mg2 Mg 0.5896 0.4104 0.7500
```


11.
First-principles (GGA-PBE) data for Er6OsSe5 after structural relaxation, as listed in the Alexandria database.

formation energy without anion corrections = -17.752 eV per formula unit
space group = C2/m, No. 12
N(E_F) = 0.766 states/eV/atom
V = 292 Å³ per cell
crystal system = monoclinic
total magnetic moment = 0.000 μB per cell
calculated total energy = -6.15 eV/atom

Structure (CIF):
```
data_Er6OsSe5
_chemical_formula_sum 'Er6 Os1 Se5'
_space_group_name_H-M_alt 'P 1'
_space_group_IT_number 1
_cell_length_a 7.1177
_cell_length_b 7.1177
_cell_length_c 7.0731
_cell_angle_alpha 99.67
_cell_angle_beta 99.67
_cell_angle_gamma 120.05
loop_
_space_group_symop_operation_xyz
'x,y,z'
loop_
_atom_site_label
_atom_site_type_symbol
_atom_site_fract_x
_atom_site_fract_y
_atom_site_fract_z
Er1 Er 0.0760 0.3854 0.7324
Er2 Er 0.2282 0.2282 0.2645
Er3 Er 0.3854 0.0760 0.7324
Er4 Er 0.6146 0.9240 0.2676
Er5 Er 0.7718 0.7718 0.7355
Er6 Er 0.9240 0.6146 0.2676
Os1 Os 0.0000 0.0000 0.5000
Se1 Se 0.1761 0.8239 0.0000
Se2 Se 0.3353 0.6647 0.5000
Se3 Se 0.5000 0.5000 0.0000
Se4 Se 0.6647 0.3353 0.5000
Se5 Se 0.8239 0.1761 0.0000
```


12.
First-principles (GGA-PBE) data for Ba12Rh5Se3 after structural relaxation, as listed in the Alexandria database.

formation energy without anion corrections = -10.480 eV per formula unit
space group = Ia-3d, No. 230
N(E_F) = 0.793 states/eV/atom
V = 3266 Å³ per cell
crystal system = cubic
total magnetic moment = 0.001 μB per cell
calculated total energy = -4.04 eV/atom

Structure (CIF):
```
data_Ba12Rh5Se3
_chemical_formula_sum 'Ba48 Rh20 Se12'
_space_group_name_H-M_alt 'P 1'
_space_group_IT_number 1
_cell_length_a 16.1884
_cell_length_b 16.1884
_cell_length_c 16.1884
_cell_angle_alpha 109.47
_cell_angle_beta 109.47
_cell_angle_gamma 109.47
loop_
_space_group_symop_operation_xyz
'x,y,z'
loop_
_atom_site_label
_atom_site_type_symbol
_atom_site_fract_x
_atom_site_fract_y
_atom_site_fract_z
Ba1 Ba 0.0349 0.2119 0.1273
Ba2 Ba 0.0349 0.3230 0.9077
Ba3 Ba 0.0846 0.7119 0.6770
Ba4 Ba 0.0846 0.8727 0.4077
Ba5 Ba 0.0923 0.6273 0.4154
Ba6 Ba 0.0923 0.9651 0.6770
Ba7 Ba 0.1273 0.0349 0.2119
Ba8 Ba 0.1273 0.5923 0.9154
Ba9 Ba 0.1770 0.2119 0.5846
Ba10 Ba 0.1770 0.4651 0.5923
Ba11 Ba 0.2119 0.1273 0.0349
Ba12 Ba 0.2119 0.5846 0.1770
Ba13 Ba 0.2881 0.3230 0.9154
Ba14 Ba 0.2881 0.4651 0.3727
Ba15 Ba 0.3230 0.9077 0.0349
Ba16 Ba 0.3230 0.9154 0.2881
Ba17 Ba 0.3727 0.2881 0.4651
Ba18 Ba 0.3727 0.5846 0.9077
Ba19 Ba 0.4077 0.0846 0.8727
Ba20 Ba 0.4077 0.8230 0.5349
Ba21 Ba 0.4154 0.0923 0.6273
Ba22 Ba 0.4154 0.8230 0.7881
Ba23 Ba 0.4651 0.3727 0.2881
Ba24 Ba 0.4651 0.5923 0.1770
Ba25 Ba 0.5349 0.4077 0.8230
Ba26 Ba 0.5349 0.6273 0.7119
Ba27 Ba 0.5846 0.1770 0.2119
Ba28 Ba 0.5846 0.9077 0.3727
Ba29 Ba 0.5923 0.1770 0.4651
Ba30 Ba 0.5923 0.9154 0.1273
Ba31 Ba 0.6273 0.4154 0.0923
Ba32 Ba 0.6273 0.7119 0.5349
Ba33 Ba 0.6770 0.0846 0.7119
Ba34 Ba 0.6770 0.0923 0.9651
Ba35 Ba 0.7119 0.5349 0.6273
Ba36 Ba 0.7119 0.6770 0.0846
Ba37 Ba 0.7881 0.4154 0.8230
Ba38 Ba 0.7881 0.8727 0.9651
Ba39 Ba 0.8230 0.5349 0.4077
Ba40 Ba 0.8230 0.7881 0.4154
Ba41 Ba 0.8727 0.4077 0.0846
Ba42 Ba 0.8727 0.9651 0.7881
Ba43 Ba 0.9077 0.0349 0.3230
Ba44 Ba 0.9077 0.3727 0.5846
Ba45 Ba 0.9154 0.1273 0.5923
Ba46 Ba 0.9154 0.2881 0.3230
Ba47 Ba 0.9651 0.6770 0.0923
Ba48 Ba 0.9651 0.7881 0.8727
Rh1 Rh 0.0000 0.0000 0.0000
Rh2 Rh 0.0000 0.0000 0.5000
Rh3 Rh 0.0000 0.5000 0.0000
Rh4 Rh 0.0000 0.5000 0.5000
Rh5 Rh 0.1250 0.7500 0.8750
Rh6 Rh 0.1250 0.8750 0.2500
Rh7 Rh 0.2500 0.1250 0.8750
Rh8 Rh 0.2500 0.6250 0.3750
Rh9 Rh 0.3750 0.2500 0.6250
Rh10 Rh 0.3750 0.6250 0.7500
Rh11 Rh 0.5000 0.0000 0.0000
Rh12 Rh 0.5000 0.0000 0.5000
Rh13 Rh 0.5000 0.5000 0.0000
Rh14 Rh 0.5000 0.5000 0.5000
Rh15 Rh 0.6250 0.3750 0.2500
Rh16 Rh 0.6250 0.7500 0.3750
Rh17 Rh 0.7500 0.3750 0.6250
Rh18 Rh 0.7500 0.8750 0.1250
Rh19 Rh 0.8750 0.1250 0.7500
Rh20 Rh 0.8750 0.2500 0.1250
Se1 Se 0.1250 0.2500 0.3750
Se2 Se 0.1250 0.3750 0.7500
Se3 Se 0.2500 0.3750 0.1250
Se4 Se 0.2500 0.8750 0.6250
Se5 Se 0.3750 0.1250 0.2500
Se6 Se 0.3750 0.7500 0.1250
Se7 Se 0.6250 0.2500 0.8750
Se8 Se 0.6250 0.8750 0.7500
Se9 Se 0.7500 0.1250 0.3750
Se10 Se 0.7500 0.6250 0.8750
Se11 Se 0.8750 0.6250 0.2500
Se12 Se 0.8750 0.7500 0.6250
```